Record 1
{
  "formula": "ScCdCoBi",
  "functional": "PBE",
  "state": "optimized geometry",
  "cell": [[0.0000, 3.4309, 3.4309], [3.4309, 0.0000, 3.4309], [3.4309, 3.4309, 0.0000]],
  "species": ["Bi", "Cd", "Co", "Sc"],
  "fractional_positions": [[0.0000, 0.0000, 0.0000], [0.2500, 0.2500, 0.2500], [0.7500, 0.7500, 0.7500], [0.5000, 0.5000, 0.5000]],
  "mass_density_g_cm3": 8.7,
  "crystal_system": "cubic",
  "relative_energy_ev_per_atom": 0.060,
  "magmom_total_mub_per_fu": 0.3
}


Record 2
{
  "formula": "TaCdCoBi",
  "functional": "PBE",
  "state": "optimized geometry",
  "cell": [[0.0000, 3.3988, 3.3988], [3.3988, 0.0000, 3.3988], [3.3988, 3.3988, 0.0000]],
  "species": ["Bi", "Ta", "Co", "Cd"],
  "fractional_positions": [[0.0000, 0.0000, 0.0000], [0.5000, 0.5000, 0.5000], [0.7500, 0.7500, 0.7500], [0.2500, 0.2500, 0.2500]],
  "mass_density_g_cm3": 11.9,
  "crystal_system": "cubic",
  "relative_energy_ev_per_atom": 0.039,
  "magmom_total_mub_per_fu": 1.0
}


Record 3
{
  "formula": "TaCdCoBi",
  "functional": "PBE",
  "state": "optimized geometry",
  "cell": [[3.2268, -2.2325, 2.6577], [-1.0662, -4.1425, 2.0402], [2.0042, -3.9984, -1.5668]],
  "species": ["Bi", "Cd", "Ta", "Co"],
  "fractional_positions": [[0.0000, 0.0000, 0.0000], [0.5000, 0.5000, 0.5000], [0.2500, 0.2500, 0.2500], [0.7500, 0.7500, 0.7500]],
  "mass_density_g_cm3": 12.4,
  "crystal_system": "cubic",
  "relative_energy_ev_per_atom": 0.000,
  "magmom_total_mub_per_fu": 1.7
}


Record 4
{
  "formula": "CdCoTcBi",
  "functional": "PBE",
  "state": "optimized geometry",
  "cell": [[1.0733, -3.5305, 2.7459], [2.2971, 0.7466, 3.9143], [-2.1294, -0.4962, 4.0467]],
  "species": ["Cd", "Tc", "Co", "Bi"],
  "fractional_positions": [[0.5000, 0.5000, 0.5000], [0.2500, 0.2500, 0.2500], [0.7500, 0.7500, 0.7500], [0.0000, 0.0000, 0.0000]],
  "mass_density_g_cm3": 11.5,
  "crystal_system": "cubic",
  "relative_energy_ev_per_atom": 0.000,
  "magmom_total_mub_per_fu": 0.0
}


Record 5
{
  "formula": "CdCoBiW",
  "functional": "PBE",
  "state": "optimized geometry",
  "cell": [[-0.8014, 2.2140, 4.1274], [-4.1724, -0.5323, 2.2107], [-0.2509, -2.5048, 4.0302]],
  "species": ["W", "Bi", "Co", "Cd"],
  "fractional_positions": [[0.5000, 0.5000, 0.5000], [0.0000, 0.0000, 0.0000], [0.7500, 0.7500, 0.7500], [0.2500, 0.2500, 0.2500]],
  "mass_density_g_cm3": 12.3,
  "crystal_system": "cubic",
  "relative_energy_ev_per_atom": 0.138,
  "magmom_total_mub_per_fu": 2.1
}


Record 6
{
  "formula": "CdCoBiW",
  "functional": "PBE",
  "state": "optimized geometry",
  "cell": [[0.0000, 3.3073, 3.3073], [3.3073, 0.0000, 3.3073], [3.3073, 3.3073, 0.0000]],
  "species": ["Cd", "Co", "W", "Bi"],
  "fractional_positions": [[0.5000, 0.5000, 0.5000], [0.7500, 0.7500, 0.7500], [0.2500, 0.2500, 0.2500], [0.0000, 0.0000, 0.0000]],
  "mass_density_g_cm3": 12.9,
  "crystal_system": "cubic",
  "relative_energy_ev_per_atom": 0.000,
  "magmom_total_mub_per_fu": 0.7
}


Record 7
{
  "formula": "ZnCdCoBi",
  "functional": "PBE",
  "state": "optimized geometry",
  "cell": [[2.5233, -3.7924, 1.3860], [-1.0137, -2.1570, 4.1218], [-2.0001, -4.3208, -0.0031]],
  "species": ["Cd", "Co", "Zn", "Bi"],
  "fractional_positions": [[0.5000, 0.5000, 0.5000], [0.7500, 0.7500, 0.7500], [0.2500, 0.2500, 0.2500], [0.0000, 0.0000, 0.0000]],
  "mass_density_g_cm3": 9.7,
  "crystal_system": "cubic",
  "relative_energy_ev_per_atom": 0.000,
  "magmom_total_mub_per_fu": 0.6
}


Record 8
{
  "formula": "Cs2CdBiF6",
  "functional": "PBE",
  "state": "optimized geometry",
  "cell": [[0.0000, 4.5935, 4.5935], [4.5935, 0.0000, 4.5935], [4.5935, 4.5935, 0.0000]],
  "species": ["Bi", "Cs", "F", "F", "F", "Cs", "F", "Cd", "F", "F"],
  "fractional_positions": [[0.0000, 0.0000, 0.0000], [0.2500, 0.2500, 0.2500], [0.7508, 0.7508, 0.2492], [0.7508, 0.2492, 0.7508], [0.7508, 0.2492, 0.2492], [0.7500, 0.7500, 0.7500], [0.2492, 0.7508, 0.2492], [0.5000, 0.5000, 0.5000], [0.2492, 0.7508, 0.7508], [0.2492, 0.2492, 0.7508]],
  "mass_density_g_cm3": 6.0,
  "dft_energy_ev_per_fu": -40.7,
  "crystal_system": "cubic"
}


Record 9
{
  "formula": "CsCdGaBi2",
  "functional": "PBE",
  "state": "optimized geometry",
  "cell": [[-2.3721, 2.3721, 8.0603], [2.3721, -2.3721, 8.0603], [2.3721, 2.3721, -8.0603]],
  "species": ["Cs", "Bi", "Bi", "Ga", "Cd"],
  "fractional_positions": [[0.0000, 0.0000, 0.0000], [0.3613, 0.3613, 0.0000], [0.6387, 0.6387, 0.0000], [0.7500, 0.2500, 0.5000], [0.2500, 0.7500, 0.5000]],
  "mass_density_g_cm3": 6.7,
  "dft_energy_ev_per_fu": -13.8,
  "crystal_system": "tetragonal"
}


Record 10
{
  "formula": "CsCdInBi2",
  "functional": "PBE",
  "state": "optimized geometry",
  "cell": [[-2.4374, 2.4374, 7.8473], [2.4374, -2.4374, 7.8473], [2.4374, 2.4374, -7.8473]],
  "species": ["Cs", "Bi", "Cd", "In", "Bi"],
  "fractional_positions": [[0.0000, 0.0000, 0.0000], [0.3685, 0.3685, 0.0000], [0.2500, 0.7500, 0.5000], [0.7500, 0.2500, 0.5000], [0.6315, 0.6315, 0.0000]],
  "mass_density_g_cm3": 6.9,
  "dft_energy_ev_per_fu": -13.8,
  "crystal_system": "tetragonal"
}


Record 11
{
  "formula": "Cs2MgCdBi2",
  "functional": "PBE",
  "state": "optimized geometry",
  "cell": [[5.0725, 0.0000, 0.0000], [0.0000, 5.0725, 0.0000], [0.0000, 0.0000, 9.2242]],
  "species": ["Bi", "Mg", "Cd", "Cs", "Cs", "Bi"],
  "fractional_positions": [[0.5000, 0.0000, 0.1861], [0.0000, 0.0000, 0.0000], [0.5000, 0.5000, 0.0000], [0.5000, 0.0000, 0.6562], [0.0000, 0.5000, 0.3438], [0.0000, 0.5000, 0.8139]],
  "mass_density_g_cm3": 5.7,
  "dft_energy_ev_per_fu": -14.7,
  "crystal_system": "tetragonal"
}


Record 12
{
  "formula": "CsNaCd2Bi2",
  "functional": "PBE",
  "state": "optimized geometry",
  "cell": [[4.8490, 0.0000, 0.0000], [0.0000, 4.8490, 0.0000], [0.0000, 0.0000, 9.3717]],
  "species": ["Na", "Cd", "Cs", "Cd", "Bi", "Bi"],
  "fractional_positions": [[0.5000, 0.5000, 0.7363], [0.5000, 0.0000, 0.9822], [0.0000, 0.0000, 0.3545], [0.0000, 0.5000, 0.9822], [0.5000, 0.5000, 0.1749], [0.0000, 0.0000, 0.7701]],
  "mass_density_g_cm3": 6.0,
  "dft_energy_ev_per_fu": -13.8,
  "crystal_system": "tetragonal"
}


Record 13
{
  "formula": "Cs2Cd2BiP",
  "functional": "PBE",
  "state": "optimized geometry",
  "cell": [[4.8329, 0.0000, 0.0000], [0.0000, 4.8329, 0.0000], [0.0000, 0.0000, 8.9962]],
  "species": ["Cs", "Cd", "Cs", "P", "Cd", "Bi"],
  "fractional_positions": [[0.5000, 0.5000, 0.3558], [0.0000, 0.5000, 0.9848], [0.0000, 0.0000, 0.6646], [0.5000, 0.5000, 0.8223], [0.5000, 0.0000, 0.9848], [0.0000, 0.0000, 0.1876]],
  "mass_density_g_cm3": 5.8,
  "dft_energy_ev_per_fu": -14.7,
  "crystal_system": "tetragonal"
}


Record 14
{
  "formula": "CsCdBi2Pb",
  "functional": "PBE",
  "state": "optimized geometry",
  "cell": [[-2.5969, 2.5969, 7.2195], [2.5969, -2.5969, 7.2195], [2.5969, 2.5969, -7.2195]],
  "species": ["Cd", "Bi", "Pb", "Cs", "Bi"],
  "fractional_positions": [[0.0000, 0.0000, 0.0000], [0.1229, 0.6229, 0.5000], [0.5000, 0.5000, 0.0000], [0.7500, 0.2500, 0.5000], [0.3771, 0.8771, 0.5000]],
  "mass_density_g_cm3": 7.4,
  "dft_energy_ev_per_fu": -14.5,
  "crystal_system": "tetragonal"
}


Record 15
{
  "formula": "CsRbCd2Bi2",
  "functional": "PBE",
  "state": "optimized geometry",
  "cell": [[-1.3725, -1.4036, 4.7069], [-4.4360, -1.7439, -1.8135], [3.7065, -8.0544, -1.3211]],
  "species": ["Bi", "Rb", "Bi", "Cd", "Cs", "Cd"],
  "fractional_positions": [[0.0000, 0.0000, 0.8005], [0.5000, 0.5000, 0.6690], [0.5000, 0.5000, 0.1939], [0.5000, 0.0000, 0.9979], [0.0000, 0.0000, 0.3407], [0.0000, 0.5000, 0.9979]],
  "mass_density_g_cm3": 6.1,
  "dft_energy_ev_per_fu": -13.7,
  "crystal_system": "tetragonal"
}


Record 16
{
  "formula": "Cs2CdBi2S5",
  "functional": "PBE",
  "state": "optimized geometry",
  "cell": [[15.9948, 0.0000, 0.0000], [0.0000, 4.2162, 0.0000], [0.0000, 0.0000, 18.6637]],
  "species": ["S", "Cd", "Cs", "S", "S", "Cs", "Cs", "S", "Cs", "Bi", "Cd", "Cs", "S", "Bi", "Bi", "S", "S", "S", "Cs", "S", "S", "S", "Bi", "S", "Cd", "S", "S", "S", "Bi", "S", "Bi", "S", "S", "Cs", "Bi", "S", "Cs", "Cd", "S", "Bi"],
  "fractional_positions": [[0.8615, 0.2500, 0.9386], [0.2886, 0.7500, 0.8545], [0.5347, 0.7500, 0.6123], [0.3003, 0.7500, 0.3384], [0.3177, 0.2500, 0.1472], [0.0347, 0.7500, 0.8877], [0.4934, 0.7500, 0.1270], [0.6054, 0.2500, 0.2510], [0.4653, 0.2500, 0.3877], [0.2921, 0.2500, 0.6955], [0.2114, 0.2500, 0.3545], [0.9653, 0.2500, 0.1123], [0.8003, 0.7500, 0.1616], [0.2450, 0.7500, 0.5178], [0.2550, 0.2500, 0.0178], [0.8631, 0.7500, 0.5240], [0.3631, 0.7500, 0.9760], [0.3615, 0.2500, 0.5614], [0.5066, 0.2500, 0.8730], [0.6369, 0.2500, 0.0240], [0.8946, 0.7500, 0.7510], [0.1997, 0.2500, 0.8384], [0.7550, 0.2500, 0.4822], [0.6823, 0.7500, 0.8528], [0.7114, 0.2500, 0.1455], [0.3946, 0.7500, 0.7490], [0.1369, 0.2500, 0.4760], [0.8177, 0.2500, 0.3528], [0.7450, 0.7500, 0.9822], [0.1823, 0.7500, 0.6472], [0.2079, 0.7500, 0.1955], [0.6385, 0.7500, 0.4386], [0.6997, 0.2500, 0.6616], [0.9934, 0.7500, 0.3730], [0.7921, 0.2500, 0.8045], [0.1054, 0.2500, 0.2490], [0.0066, 0.2500, 0.6270], [0.7886, 0.7500, 0.6455], [0.1385, 0.7500, 0.0614], [0.7079, 0.7500, 0.3045]],
  "mass_density_g_cm3": 5.0,
  "dft_energy_ev_per_fu": -38.9,
  "crystal_system": "orthorhombic"
}


Record 17
{
  "formula": "Cs2Cd2BiSb",
  "functional": "PBE",
  "state": "optimized geometry",
  "cell": [[-0.7082, -4.7051, 1.6251], [4.9210, -0.9091, -0.4876], [1.3489, 2.7368, 8.5117]],
  "species": ["Bi", "Cd", "Cd", "Cs", "Cs", "Sb"],
  "fractional_positions": [[0.0000, 0.0000, 0.1932], [0.5000, 0.0000, 0.9961], [0.0000, 0.5000, 0.9961], [0.5000, 0.5000, 0.3494], [0.0000, 0.0000, 0.6550], [0.5000, 0.5000, 0.8102]],
  "mass_density_g_cm3": 6.0,
  "crystal_system": "tetragonal",
  "relative_energy_ev_per_atom": 0.004
}


Record 18
{
  "formula": "Cs2Cd2BiSb",
  "functional": "PBE",
  "state": "optimized geometry",
  "cell": [[4.9950, 0.0000, 0.0000], [-2.4975, 4.3258, 0.0000], [0.0000, 0.0000, 11.8925]],
  "species": ["Cd", "Cs", "Cd", "Bi", "Cs", "Sb"],
  "fractional_positions": [[0.0000, 0.0000, 0.0000], [0.6667, 0.3333, 0.7511], [0.3333, 0.6667, 0.5000], [0.0000, 0.0000, 0.5000], [0.6667, 0.3333, 0.2489], [0.3333, 0.6667, 0.0000]],
  "mass_density_g_cm3": 5.3,
  "crystal_system": "hexagonal",
  "relative_energy_ev_per_atom": 0.000
}


Record 19
{
  "formula": "CsCdBiSe3",
  "functional": "PBE",
  "state": "optimized geometry",
  "cell": [[-7.9726, -1.2428, 2.3994], [5.9660, -0.4451, -5.9223], [2.6946, -10.5191, 3.5051]],
  "species": ["Se", "Cd", "Se", "Bi", "Cs", "Bi", "Se", "Cd", "Se", "Se", "Se", "Cs"],
  "fractional_positions": [[0.0586, 0.9414, 0.7500], [0.5423, 0.4577, 0.2500], [0.6215, 0.3785, 0.4523], [0.0000, 0.0000, 0.5000], [0.2582, 0.7418, 0.2500], [0.0000, 0.0000, 0.0000], [0.6215, 0.3785, 0.0477], [0.4577, 0.5423, 0.7500], [0.9414, 0.0586, 0.2500], [0.3785, 0.6215, 0.9523], [0.3785, 0.6215, 0.5477], [0.7418, 0.2582, 0.7500]],
  "mass_density_g_cm3": 5.6,
  "dft_energy_ev_per_fu": -20.7,
  "crystal_system": "orthorhombic"
}


Record 20
{
  "formula": "Cs6Cd2Bi8Te17",
  "functional": "PBE",
  "state": "optimized geometry",
  "cell": [[-2.5898, -2.3908, -2.9014], [-9.5293, -9.8255, 16.6021], [-23.0632, 15.8699, 7.5093]],
  "species": ["Te", "Te", "Te", "Cd", "Cs", "Te", "Bi", "Te", "Te", "Te", "Bi", "Bi", "Cs", "Te", "Bi", "Bi", "Te", "Te", "Cs", "Te", "Te", "Cs", "Te", "Te", "Cs", "Bi", "Te", "Bi", "Te", "Bi", "Te", "Te", "Bi", "Bi", "Te", "Cd", "Bi", "Te", "Te", "Te", "Te", "Cs", "Cd", "Te", "Cs", "Bi", "Cs", "Bi", "Te", "Cd", "Cs", "Te", "Te", "Bi", "Cs", "Te", "Te", "Cs", "Te", "Te", "Bi", "Te", "Te", "Te", "Cs", "Bi"],
  "fractional_positions": [[0.0000, 0.8514, 0.8397], [0.5000, 0.1620, 0.0277], [0.0000, 0.0285, 0.3587], [0.0000, 0.3813, 0.1222], [0.5000, 0.3257, 0.9222], [0.5000, 0.6629, 0.4627], [0.5000, 0.7575, 0.9001], [0.0000, 0.8378, 0.4736], [0.5000, 0.8491, 0.3418], [0.5000, 0.4851, 0.3829], [0.0000, 0.4657, 0.6987], [0.0000, 0.2434, 0.5992], [0.0000, 0.2184, 0.2774], [0.0000, 0.6807, 0.3216], [0.0000, 0.1020, 0.4341], [0.0000, 0.0708, 0.0857], [0.0000, 0.8034, 0.1130], [0.5000, 0.8380, 0.9723], [0.5000, 0.2121, 0.7760], [0.5000, 0.1509, 0.6582], [0.0000, 0.1622, 0.5264], [0.5000, 0.5000, 0.0000], [0.0000, 0.3353, 0.0388], [0.0000, 0.6647, 0.9612], [0.5000, 0.7879, 0.2240], [0.5000, 0.2425, 0.0999], [0.0000, 0.3193, 0.6784], [0.5000, 0.9270, 0.4154], [0.5000, 0.5930, 0.2247], [0.0000, 0.5343, 0.3013], [0.5000, 0.0296, 0.8602], [0.0000, 0.4843, 0.8837], [0.0000, 0.7566, 0.4008], [0.5000, 0.0730, 0.5846], [0.5000, 0.8036, 0.6123], [0.5000, 0.6192, 0.3784], [0.0000, 0.9292, 0.9143], [0.5000, 0.4070, 0.7753], [0.5000, 0.9704, 0.1398], [0.0000, 0.5157, 0.1163], [0.5000, 0.0000, 0.5000], [0.0000, 0.3270, 0.4223], [0.0000, 0.6187, 0.8778], [0.0000, 0.9715, 0.6413], [0.5000, 0.0224, 0.2519], [0.5000, 0.4674, 0.1983], [0.0000, 0.7816, 0.7226], [0.0000, 0.8980, 0.5659], [0.0000, 0.1486, 0.1603], [0.5000, 0.3808, 0.6216], [0.0000, 0.5000, 0.5000], [0.0000, 0.1966, 0.8870], [0.5000, 0.5149, 0.6171], [0.5000, 0.5326, 0.8017], [0.0000, 0.6730, 0.5777], [0.5000, 0.6798, 0.8211], [0.5000, 0.3371, 0.5373], [0.5000, 0.9776, 0.7481], [0.0000, 0.0000, 0.0000], [0.5000, 0.3202, 0.1789], [0.5000, 0.1029, 0.9347], [0.5000, 0.1964, 0.3877], [0.0000, 0.5912, 0.7251], [0.0000, 0.4088, 0.2749], [0.5000, 0.6743, 0.0778], [0.5000, 0.8971, 0.0653]],
  "mass_density_g_cm3": 6.0,
  "dft_energy_ev_per_fu": -111.4,
  "crystal_system": "monoclinic"
}


Record 21
{
  "formula": "CsTlCdBi2",
  "functional": "PBE",
  "state": "optimized geometry",
  "cell": [[-2.9608, -2.6993, 6.8708], [-1.7864, 4.3873, 6.3891], [-0.9673, -0.3757, -7.8857]],
  "species": ["Tl", "Cs", "Cd", "Bi", "Bi"],
  "fractional_positions": [[0.7500, 0.2500, 0.5000], [0.0000, 0.0000, 0.0000], [0.2500, 0.7500, 0.5000], [0.6229, 0.6229, 0.0000], [0.3771, 0.3771, 0.0000]],
  "mass_density_g_cm3": 7.8,
  "dft_energy_ev_per_fu": -13.1,
  "crystal_system": "tetragonal"
}


Record 22
{
  "formula": "CdCu2Bi",
  "functional": "PBE",
  "state": "optimized geometry",
  "cell": [[0.0000, 3.3520, 3.3520], [3.3520, 0.0000, 3.3520], [3.3520, 3.3520, 0.0000]],
  "species": ["Cd", "Cu", "Bi", "Cu"],
  "fractional_positions": [[0.5000, 0.5000, 0.5000], [0.2500, 0.2500, 0.2500], [0.0000, 0.0000, 0.0000], [0.7500, 0.7500, 0.7500]],
  "mass_density_g_cm3": 9.9,
  "crystal_system": "cubic",
  "relative_energy_ev_per_atom": 0.000
}


Record 23
{
  "formula": "CdCu2Bi",
  "functional": "PBE",
  "state": "optimized geometry",
  "cell": [[-3.0591, -2.9543, -2.2058], [-3.9297, -1.5185, 2.2811], [-4.3150, 1.5882, -1.3454]],
  "species": ["Cu", "Cu", "Bi", "Cd"],
  "fractional_positions": [[0.7500, 0.7500, 0.7500], [0.0000, 0.0000, 0.0000], [0.5000, 0.5000, 0.5000], [0.2500, 0.2500, 0.2500]],
  "mass_density_g_cm3": 9.6,
  "crystal_system": "cubic",
  "relative_energy_ev_per_atom": 0.128
}